--- P ---
First-principles (GGA-PBE) data for PrGeB4 after structural relaxation, as listed in OQMD via LeMat-Bulk.

Unit cell a=5.316 b=5.316 c=5.316 alpha=144.79 beta=121.19 gamma=70.44
Fractional positions:
B: 0.565 0.241 0.324
B: 0.084 0.759 0.324
B: 0.916 0.241 0.676
B: 0.435 0.759 0.676
Ge: 0.000 0.000 0.000
Pr: 0.500 0.500 0.000

Results
**Space group**: Immm, No. 71

---

--- Q ---
First-principles (GGA-PBE) data for PrGeB4 after structural relaxation, as listed in OQMD via LeMat-Bulk.

Unit cell a=3.172 b=3.172 c=8.000 alpha=90.00 beta=90.00 gamma=120.00
Fractional positions:
B: 0.667 0.333 0.274
B: 0.333 0.667 0.274
B: 0.667 0.333 0.726
B: 0.333 0.667 0.726
Ge: 0.000 0.000 0.500
Pr: 0.000 0.000 0.000

Results
**Space group**: P6/mmm, No. 191

---

It is Q that is the least stable of them.

---

--- P ---
First-principles (GGA-PBE) data for GeBPt after structural relaxation, as listed in OQMD via LeMat-Bulk.

Unit cell a=3.242 b=4.612 c=5.934 alpha=90.00 beta=90.00 gamma=90.00
Fractional positions:
B: 0.500 0.518 0.137
B: 0.000 0.482 0.637
Ge: 0.000 0.137 0.392
Ge: 0.500 0.863 0.892
Pt: 0.500 0.687 0.471
Pt: 0.000 0.313 0.971

Results
**Space group**: Pmn2_1, No. 31

---

--- Q ---
First-principles (GGA-PBE) data for GeBPt after structural relaxation, as listed in OQMD via LeMat-Bulk.

Unit cell a=4.406 b=4.002 c=5.719 alpha=90.00 beta=108.72 gamma=90.00
Fractional positions:
B: 0.866 0.000 0.353
B: 0.134 0.000 0.647
Ge: 0.367 0.500 0.224
Ge: 0.633 0.500 0.776
Pt: 0.500 0.000 0.000
Pt: 0.000 0.500 0.500

Results
**Space group**: P2/m, No. 10

---

--- R ---
First-principles (GGA-PBE) data for GeBPt after structural relaxation, as listed in OQMD via LeMat-Bulk.

Unit cell a=3.312 b=4.512 c=6.250 alpha=90.00 beta=90.00 gamma=90.00
Fractional positions:
B: 0.500 0.020 0.224
B: 0.000 0.980 0.724
Ge: 0.000 0.647 0.236
Ge: 0.500 0.353 0.736
Pt: 0.000 0.163 0.040
Pt: 0.500 0.837 0.540

Results
**Space group**: Pmn2_1, No. 31

---

It is Q that is the least stable of them.

---

--- P ---
First-principles (GGA-PBE) data for GeB4Pt after structural relaxation, as listed in OQMD via LeMat-Bulk.

Unit cell a=4.741 b=4.741 c=4.741 alpha=142.54 beta=109.84 gamma=82.34
Fractional positions:
B: 0.585 0.250 0.335
B: 0.086 0.750 0.335
B: 0.914 0.250 0.665
B: 0.415 0.750 0.665
Ge: 0.000 0.000 0.000
Pt: 0.500 0.500 0.000

Results
**Space group**: Immm, No. 71

---

--- Q ---
First-principles (GGA-PBE) data for GeB4Pt after structural relaxation, as listed in OQMD via LeMat-Bulk.

Unit cell a=3.104 b=3.104 c=6.960 alpha=90.00 beta=90.00 gamma=120.00
Fractional positions:
B: 0.667 0.333 0.251
B: 0.333 0.667 0.251
B: 0.667 0.333 0.749
B: 0.333 0.667 0.749
Ge: 0.000 0.000 0.000
Pt: 0.000 0.000 0.500

Results
**Space group**: P6/mmm, No. 191

---

It is P that is the least stable of them.

---

--- P ---
First-principles (GGA-PBE) data for ReGeB4 after structural relaxation, as listed in OQMD via LeMat-Bulk.

Unit cell a=3.003 b=3.003 c=7.446 alpha=90.00 beta=90.00 gamma=120.00
Fractional positions:
B: 0.667 0.333 0.275
B: 0.333 0.667 0.275
B: 0.667 0.333 0.725
B: 0.333 0.667 0.725
Ge: 0.000 0.000 0.000
Re: 0.000 0.000 0.500

Results
**Space group**: P6/mmm, No. 191

---

--- Q ---
First-principles (GGA-PBE) data for ReGeB4 after structural relaxation, as listed in OQMD via LeMat-Bulk.

Unit cell a=4.591 b=4.591 c=4.591 alpha=141.83 beta=108.54 gamma=84.02
Fractional positions:
B: 0.591 0.253 0.338
B: 0.085 0.747 0.338
B: 0.915 0.253 0.662
B: 0.409 0.747 0.662
Ge: 0.000 0.000 0.000
Re: 0.500 0.500 0.000

Results
**Space group**: Immm, No. 71

---

It is Q that is the least stable of them.

---

--- P ---
First-principles (GGA-PBE) data for TaGeB after structural relaxation, as listed in OQMD via LeMat-Bulk.

Unit cell a=4.131 b=4.131 c=4.131 alpha=60.00 beta=60.00 gamma=60.00
Fractional positions:
B: 0.250 0.250 0.250
Ge: 0.750 0.750 0.750
Ta: 0.000 0.000 0.000

Results
**Space group**: F-43m, No. 216

---

--- Q ---
First-principles (GGA-PBE) data for TaGeB after structural relaxation, as listed in OQMD via LeMat-Bulk.

Unit cell a=3.921 b=3.921 c=3.921 alpha=60.00 beta=60.00 gamma=60.00
Fractional positions:
B: 0.000 0.000 0.000
Ge: 0.250 0.250 0.250
Ta: 0.750 0.750 0.750

Results
**Space group**: F-43m, No. 216

---

It is P that is the least stable of them.

---

--- P ---
First-principles (GGA-PBE) data for TbGeB after structural relaxation, as listed in OQMD via LeMat-Bulk.

Unit cell a=4.220 b=4.220 c=4.220 alpha=60.00 beta=60.00 gamma=60.00
Fractional positions:
B: 0.000 0.000 0.000
Ge: 0.250 0.250 0.250
Tb: 0.750 0.750 0.750

Results
**Space group**: F-43m, No. 216

---

--- Q ---
First-principles (GGA-PBE) data for TbGeB after structural relaxation, as listed in OQMD via LeMat-Bulk.

Unit cell a=6.782 b=6.782 c=3.538 alpha=90.00 beta=90.00 gamma=135.65
Fractional positions:
B: 0.812 0.188 0.250
B: 0.188 0.812 0.750
Ge: 0.099 0.901 0.250
Ge: 0.901 0.099 0.750
Tb: 0.342 0.658 0.250
Tb: 0.658 0.342 0.750

Results
**Space group**: Cmcm, No. 63

---

--- R ---
First-principles (GGA-PBE) data for TbGeB after structural relaxation, as listed in OQMD via LeMat-Bulk.

Unit cell a=4.377 b=4.377 c=4.377 alpha=60.00 beta=60.00 gamma=60.00
Fractional positions:
B: 0.250 0.250 0.250
Ge: 0.000 0.000 0.000
Tb: 0.750 0.750 0.750

Results
**Space group**: F-43m, No. 216

---

It is R that is the least stable of them.

---

--- P ---
First-principles (GGA-PBE) data for ThGeB4 after structural relaxation, as listed in OQMD via LeMat-Bulk.

Unit cell a=5.351 b=5.351 c=5.351 alpha=144.97 beta=122.28 gamma=69.34
Fractional positions:
B: 0.553 0.235 0.318
B: 0.083 0.765 0.318
B: 0.917 0.235 0.682
B: 0.447 0.765 0.682
Ge: 0.000 0.000 0.000
Th: 0.500 0.500 0.000

Results
**Space group**: Immm, No. 71

---

--- Q ---
First-principles (GGA-PBE) data for ThGeB4 after structural relaxation, as listed in OQMD via LeMat-Bulk.

Unit cell a=3.192 b=3.192 c=8.045 alpha=90.00 beta=90.00 gamma=120.00
Fractional positions:
B: 0.667 0.333 0.267
B: 0.333 0.667 0.267
B: 0.667 0.333 0.733
B: 0.333 0.667 0.733
Ge: 0.000 0.000 0.500
Th: 0.000 0.000 0.000

Results
**Space group**: P6/mmm, No. 191

---

It is Q that is the least stable of them.

---

--- P ---
First-principles (GGA-PBE) data for TmGeB after structural relaxation, as listed in OQMD via LeMat-Bulk.

Unit cell a=4.419 b=4.419 c=4.419 alpha=60.00 beta=60.00 gamma=60.00
Fractional positions:
B: 0.250 0.250 0.250
Ge: 0.750 0.750 0.750
Tm: 0.000 0.000 0.000

Results
**Space group**: F-43m, No. 216

---

--- Q ---
First-principles (GGA-PBE) data for TmGeB after structural relaxation, as listed in OQMD via LeMat-Bulk.

Unit cell a=4.147 b=4.147 c=4.147 alpha=60.00 beta=60.00 gamma=60.00
Fractional positions:
B: 0.000 0.000 0.000
Ge: 0.250 0.250 0.250
Tm: 0.750 0.750 0.750

Results
**Space group**: F-43m, No. 216

---

It is P that is the least stable of them.

---

--- P ---
First-principles (GGA-PBE) data for UB4H16 after structural relaxation, as listed in OQMD via LeMat-Bulk.

Unit cell a=7.233 b=7.233 c=12.843 alpha=90.00 beta=90.00 gamma=90.00
Site moments in Bohr magnetons follow the coordinates.
Fractional positions:
B: 0.926 0.218 0.105  -0.01
B: 0.162 0.708 0.122  -0.02
B: 0.662 0.792 0.128  -0.02
B: 0.426 0.282 0.145  -0.01
B: 0.718 0.574 0.355  -0.01
B: 0.208 0.338 0.372  -0.02
B: 0.292 0.838 0.378  -0.02
B: 0.782 0.074 0.395  -0.01
B: 0.074 0.782 0.605  -0.01
B: 0.838 0.292 0.622  -0.02
B: 0.338 0.208 0.628  -0.02
B: 0.574 0.718 0.645  -0.01
B: 0.282 0.426 0.855  -0.01
B: 0.792 0.662 0.872  -0.02
B: 0.708 0.162 0.878  -0.02
B: 0.218 0.926 0.895  -0.01
H: 0.005 0.235 0.019  0.00
H: 0.627 0.855 0.041  0.00
H: 0.049 0.643 0.061  0.00
H: 0.771 0.151 0.086  0.00
H: 0.318 0.666 0.091  0.00
H: 0.421 0.142 0.095  0.00
H: 0.510 0.412 0.102  -0.01
H: 0.653 0.622 0.121  0.00
H: 0.153 0.878 0.129  0.00
H: 0.010 0.088 0.148  -0.01
H: 0.921 0.358 0.155  0.00
H: 0.818 0.834 0.159  0.00
H: 0.271 0.349 0.164  0.00
H: 0.549 0.857 0.189  0.00
H: 0.127 0.645 0.209  0.00
H: 0.505 0.265 0.231  0.00
H: 0.735 0.495 0.269  0.00
H: 0.355 0.873 0.291  0.00
H: 0.143 0.451 0.311  0.00
H: 0.651 0.729 0.336  0.00
H: 0.166 0.182 0.341  0.00
H: 0.642 0.079 0.345  0.00
H: 0.912 0.990 0.352  -0.01
H: 0.122 0.847 0.371  0.00
H: 0.378 0.347 0.379  0.00
H: 0.588 0.490 0.398  -0.01
H: 0.858 0.579 0.405  0.00
H: 0.334 0.682 0.409  0.00
H: 0.849 0.229 0.414  0.00
H: 0.357 0.951 0.439  0.00
H: 0.145 0.373 0.459  0.00
H: 0.765 0.995 0.481  0.00
H: 0.995 0.765 0.519  0.00
H: 0.373 0.145 0.541  0.00
H: 0.951 0.357 0.561  0.00
H: 0.229 0.849 0.586  0.00
H: 0.682 0.334 0.591  0.00
H: 0.579 0.858 0.595  0.00
H: 0.490 0.588 0.602  -0.01
H: 0.347 0.378 0.621  0.00
H: 0.847 0.122 0.629  0.00
H: 0.990 0.912 0.648  -0.01
H: 0.079 0.642 0.655  0.00
H: 0.182 0.166 0.659  0.00
H: 0.729 0.651 0.664  0.00
H: 0.451 0.143 0.689  0.00
H: 0.873 0.355 0.709  0.00
H: 0.495 0.735 0.731  0.00
H: 0.265 0.505 0.769  0.00
H: 0.645 0.127 0.791  0.00
H: 0.857 0.549 0.811  0.00
H: 0.349 0.271 0.836  0.00
H: 0.834 0.818 0.841  0.00
H: 0.358 0.921 0.845  0.00
H: 0.088 0.010 0.852  -0.01
H: 0.878 0.153 0.871  0.00
H: 0.622 0.653 0.879  0.00
H: 0.412 0.510 0.898  -0.01
H: 0.142 0.421 0.905  0.00
H: 0.666 0.318 0.909  0.00
H: 0.151 0.771 0.914  0.00
H: 0.643 0.049 0.939  0.00
H: 0.855 0.627 0.959  0.00
H: 0.235 0.005 0.981  0.00
U: 0.933 0.933 0.000  1.98
U: 0.433 0.567 0.250  2.00
U: 0.067 0.067 0.500  1.98
U: 0.567 0.433 0.750  2.00

Results
**Space group**: P4_32_12, No. 96

---

--- Q ---
First-principles (GGA-PBE) data for UB4H16 after structural relaxation, as listed in OQMD via LeMat-Bulk.

Unit cell a=5.478 b=5.478 c=11.272 alpha=90.00 beta=90.00 gamma=89.95
Fractional positions:
B: 0.225 0.775 0.034
B: 0.363 0.206 0.250
B: 0.794 0.637 0.250
B: 0.225 0.775 0.466
B: 0.775 0.225 0.534
B: 0.206 0.363 0.750
B: 0.637 0.794 0.750
B: 0.775 0.225 0.966
H: 0.178 0.563 0.068
H: 0.437 0.822 0.068
H: 0.807 0.193 0.069
H: 0.095 0.905 0.100
H: 0.375 0.329 0.159
H: 0.671 0.625 0.159
H: 0.535 0.059 0.250
H: 0.162 0.102 0.250
H: 0.941 0.465 0.250
H: 0.898 0.838 0.250
H: 0.375 0.329 0.341
H: 0.671 0.625 0.341
H: 0.095 0.905 0.400
H: 0.807 0.193 0.431
H: 0.178 0.563 0.432
H: 0.437 0.822 0.432
H: 0.563 0.178 0.568
H: 0.822 0.437 0.568
H: 0.193 0.807 0.569
H: 0.905 0.095 0.600
H: 0.329 0.375 0.659
H: 0.625 0.671 0.659
H: 0.102 0.162 0.750
H: 0.059 0.535 0.750
H: 0.838 0.898 0.750
H: 0.465 0.941 0.750
H: 0.329 0.375 0.841
H: 0.625 0.671 0.841
H: 0.905 0.095 0.900
H: 0.193 0.807 0.931
H: 0.563 0.178 0.932
H: 0.822 0.437 0.932
U: 0.291 0.709 0.250
U: 0.709 0.291 0.750

Results
**Space group**: Cmcm, No. 63

---

It is Q that is the least stable of them.

---

--- P ---
First-principles (GGA-PBE) data for HfHgB4 after structural relaxation, as listed in OQMD via LeMat-Bulk.

Unit cell a=3.132 b=3.132 c=8.269 alpha=90.00 beta=90.00 gamma=120.00
Fractional positions:
B: 0.667 0.333 0.297
B: 0.333 0.667 0.297
B: 0.667 0.333 0.703
B: 0.333 0.667 0.703
Hf: 0.000 0.000 0.500
Hg: 0.000 0.000 0.000

Results
**Space group**: P6/mmm, No. 191

---

--- Q ---
First-principles (GGA-PBE) data for HfHgB4 after structural relaxation, as listed in OQMD via LeMat-Bulk.

Unit cell a=5.009 b=5.009 c=5.009 alpha=143.49 beta=117.53 gamma=74.57
Fractional positions:
B: 0.556 0.233 0.323
B: 0.089 0.767 0.323
B: 0.911 0.233 0.677
B: 0.444 0.767 0.677
Hf: 0.500 0.500 0.000
Hg: 0.000 0.000 0.000

Results
**Space group**: Immm, No. 71

---

It is Q that is the least stable of them.